The following is a PBE calculation of crystalline ThTaMoC3 at its relaxed geometry, from Alexandria via LeMat-Bulk.

Summary:
- energy relative to the elements (eV per atom) = -0.318
- crystal system = monoclinic
- calculated volume (Å³/atom) = 13.19

a b c (Å): 5.725 3.325 8.498
angles (deg): 90.00 102.00 90.00
Space group P2_1/m (No. 11)
Unique sites:
1 Th 0.141 0.250 0.196 (multiplicity 2)
2 Ta 0.271 0.750 0.548 (multiplicity 2)
3 Mo 0.382 0.250 0.864 (multiplicity 2)
4 C 0.073 0.250 0.651 (multiplicity 2)
5 C 0.266 0.750 0.981 (multiplicity 2)
6 C 0.464 0.750 0.347 (multiplicity 2)